[1]
5
Lattice="-2.223 -3.565 -1.322 4.450 -2.942 0.452 -1.027 -0.911 4.185" Properties=species:S:1:pos:R:3 comment="RbTaV2Cl | the Alexandria database | PBE | relaxed" total_magnetization_mub_per_fu=1.002 formation_energy_uncorrected_ev_per_atom=1.558 pbc="T T T"
Cl 0.000 0.000 0.000
V -0.514 -0.456 2.092
V -1.111 -1.783 -0.661
Rb 2.225 -1.471 0.226
Ta 0.600 -3.709 1.658

[2]
3
Lattice="-0.386 2.405 -2.041 0.298 -2.972 -1.084 -6.813 -0.806 0.338" Properties=species:S:1:pos:R:3 comment="TlCdCo | the Alexandria database | PBE | relaxed" relative_energy_ev_per_atom=0.0703 e_form_mev_per_atom=504 total_magnetization_mub_per_fu=1.380 pbc="T T T"
Cd -0.252 -0.030 0.012
Co -2.406 0.347 -1.611
Tl -4.243 -1.690 -1.189